# RbMgTl

A relaxed structure of RbMgTl (PBE-GGA, the Alexandria database).

```
data_RbMgTl
_chemical_formula_sum 'Rb2 Mg2 Tl2'
_cell_length_a 4.975
_cell_length_b 4.981
_cell_length_c 12.457
_cell_angle_alpha 79.51
_cell_angle_beta 79.04
_cell_angle_gamma 60.01
_space_group_name_H-M_alt 'P 1'
_space_group_IT_number 1
_space_group_name_Hall 'P 1'
loop_
_atom_site_label
_atom_site_fract_x
_atom_site_fract_y
_atom_site_fract_z
Rb1 0.226 0.741 0.320
Rb2 0.774 0.259 0.680
Tl1 0.045 0.538 0.866
Tl2 0.955 0.462 0.134
Mg1 0.652 0.155 0.043
Mg2 0.348 0.845 0.957
```

offset from the most stable computed form: 17 meV/atom
E_form: -0.0443 eV/atom
raw total energy: -5.06 eV per formula unit
space-group type: P-1 (2)